12
Lattice="6.442 -0.617 0.000 -1.128 6.373 0.000 0.000 0.000 9.502" Properties=species:S:1:pos:R:3 comment="PBE-GGA ScGaTe4, optimized geometry" final_energy_ev_per_atom=-4.06 pbc="T T T"
Sc 2.097 2.271 7.126
Sc 3.218 3.485 2.375
Te 4.082 0.036 2.375
Te -0.289 4.071 2.375
Te 3.710 4.018 8.955
Te 3.710 4.018 5.298
Te 1.605 1.738 0.547
Te 1.233 5.720 7.126
Te 1.605 1.738 4.204
Te 5.604 1.684 7.126
Ga 0.243 0.264 2.375
Ga 5.071 5.492 7.126

10
Lattice="7.425 0.000 0.000 0.000 7.425 0.000 0.000 0.000 3.859" Properties=species:S:1:pos:R:3 comment="PBE-GGA Sc2Ga2Te, optimized geometry" final_energy_ev_per_atom=-4.88 de_polymorph_mev_per_atom=59 pbc="T T T"
Sc 5.026 6.112 1.929
Sc 1.313 5.026 1.929
Sc 2.400 1.313 1.929
Sc 6.112 2.400 1.929
Te 0.000 0.000 0.000
Te 3.713 3.713 0.000
Ga 6.536 4.602 0.000
Ga 4.602 0.890 0.000
Ga 2.823 6.536 0.000
Ga 0.890 2.823 0.000

12
Lattice="-0.179 -4.253 0.549 9.189 -0.240 1.133 -3.804 1.400 9.613" Properties=species:S:1:pos:R:3 comment="PBE-GGA ScTlGaTe3, optimized geometry" final_energy_ev_per_atom=-4.17 pbc="T T T"
Ga -1.824 -0.206 6.201
Ga 7.031 -2.887 5.093
Te -0.185 -2.448 6.144
Te 3.400 -3.070 2.488
Te 5.392 -0.645 5.150
Te 7.484 -3.250 2.428
Te 1.806 -0.023 8.806
Te -2.278 0.157 8.866
Sc -0.307 -2.046 9.223
Sc 5.514 -1.047 2.071
Tl 4.331 -2.301 8.752
Tl 0.876 -0.792 2.542

Number 1: total moment 0.00 Bohr magnetons per cell, formation energy (no corrections) -0.4090 eV/atom. Number 2: total moment 0.00 Bohr magnetons per cell, formation energy (no corrections) -0.5033 eV/atom. Number 3: total moment 0.00 Bohr magnetons per cell, formation energy (no corrections) -0.6418 eV/atom.